1.
# Li5Sb4As

Crystalline Li5Sb4As at its relaxed geometry (PBE, Alexandria).

Uncorrected energy in eV per cell: -34.3
SG: No. 123
DOS at the Fermi energy in states/eV/cell: 2.50
Calculated volume in A^3/atom: 20.69

Unit cell a=3.713 b=3.713 c=15.004 alpha=90.00 beta=90.00 gamma=90.00
Fractional coordinates of all 10 atoms:
Li  0.000  0.000  0.000
Li  0.000  0.000  0.206
Li  0.000  0.000  0.413
Li  0.000  0.000  0.587
Li  0.000  0.000  0.794
Sb  0.500  0.500  0.103
Sb  0.500  0.500  0.310
Sb  0.500  0.500  0.690
Sb  0.500  0.500  0.897
As  0.500  0.500  0.500

=====

2.
# LiSbAs2

Crystalline LiSbAs2 at its relaxed geometry (PBE, Alexandria).

Uncorrected energy in eV per cell: -15.1
SG: No. 35
DOS at the Fermi energy in states/eV/cell: 1.53
Calculated volume in A^3/atom: 20.87

Unit cell a=3.225 b=3.225 c=8.262 alpha=90.00 beta=90.00 gamma=103.72
Fractional coordinates of all 4 atoms:
Li  0.000  0.000  0.000
Sb  0.500  0.500  0.266
As  0.000  0.000  0.565
As  0.500  0.500  0.774

=====

3.
# Li2SbAs

Crystalline Li2SbAs at its relaxed geometry (PBE, Alexandria).

Polymorph energy (0 for the lowest one) in meV per atom: 73.7
Uncorrected energy in eV per cell: -14.0
SG: No. 6
DOS at the Fermi energy in states/eV/cell: 0.83
Calculated volume in A^3/atom: 19.80

Unit cell a=3.121 b=5.410 c=4.691 alpha=90.00 beta=90.02 gamma=90.00
Fractional coordinates of all 4 atoms:
Li  0.000  0.000  0.000
Li  0.002  0.500  0.287
Sb  0.501  0.000  0.510
As  0.503  0.500  0.775

=====

4.
# Li6Sb2As

Crystalline Li6Sb2As at its relaxed geometry (PBE, Alexandria).

Polymorph energy (0 for the lowest one) in meV per atom: 0.0
Uncorrected energy in eV per cell: -29.7
SG: No. 189
DOS at the Fermi energy in states/eV/cell: 3.72
Calculated volume in A^3/atom: 18.50

Unit cell a=7.704 b=7.704 c=3.240 alpha=90.00 beta=90.00 gamma=120.00
Fractional coordinates of all 9 atoms:
Li  0.000  0.270  0.000
Li  0.000  0.639  0.500
Li  0.270  0.000  0.000
Li  0.361  0.361  0.500
Li  0.639  0.000  0.500
Li  0.730  0.730  0.000
Sb  0.333  0.667  0.000
Sb  0.667  0.333  0.000
As  0.000  0.000  0.500

=====

5.
# LiSbAs2

Crystalline LiSbAs2 at its relaxed geometry (PBE, Alexandria).

Uncorrected energy in eV per cell: -15.7
SG: No. 12
DOS at the Fermi energy in states/eV/cell: 1.66
Calculated volume in A^3/atom: 23.39

Unit cell a=6.007 b=6.007 c=4.831 alpha=104.21 beta=104.21 gamma=33.74
Fractional coordinates of all 4 atoms:
Li  0.000  0.000  0.000
Sb  0.500  0.500  0.500
As  0.249  0.249  0.176
As  0.751  0.751  0.824

=====

6.
# Li2Sb2As

Crystalline Li2Sb2As at its relaxed geometry (PBE, Alexandria).

Polymorph energy (0 for the lowest one) in meV per atom: 113.4
Uncorrected energy in eV per cell: -34.4
SG: No. 127
DOS at the Fermi energy in states/eV/cell: 5.70
Calculated volume in A^3/atom: 20.85

Unit cell a=8.179 b=8.179 c=3.116 alpha=90.00 beta=90.00 gamma=90.00
Fractional coordinates of all 10 atoms:
Li  0.114  0.386  0.000
Li  0.386  0.886  0.000
Li  0.614  0.114  0.000
Li  0.886  0.614  0.000
Sb  0.189  0.689  0.500
Sb  0.311  0.189  0.500
Sb  0.689  0.811  0.500
Sb  0.811  0.311  0.500
As  0.000  0.000  0.000
As  0.500  0.500  0.000

=====

7.
# Li6Sb2As

Crystalline Li6Sb2As at its relaxed geometry (PBE, Alexandria).

Polymorph energy (0 for the lowest one) in meV per atom: 22.6
Uncorrected energy in eV per cell: -29.5
SG: No. 2
DOS at the Fermi energy in states/eV/cell: 0.90
Calculated volume in A^3/atom: 18.10

Unit cell a=4.877 b=5.255 c=6.574 alpha=80.07 beta=81.50 gamma=81.67
Fractional coordinates of all 9 atoms:
Li  0.056  0.110  0.286
Li  0.292  0.558  0.394
Li  0.388  0.782  0.925
Li  0.612  0.218  0.075
Li  0.708  0.442  0.606
Li  0.944  0.890  0.714
Sb  0.168  0.327  0.829
Sb  0.832  0.673  0.171
As  0.500  0.000  0.500

=====

8.
# LiSbAs2

Crystalline LiSbAs2 at its relaxed geometry (PBE, Alexandria).

Uncorrected energy in eV per cell: -15.5
SG: No. 65
DOS at the Fermi energy in states/eV/cell: 1.94
Calculated volume in A^3/atom: 20.87

Unit cell a=4.832 b=4.832 c=3.737 alpha=90.00 beta=90.00 gamma=106.92
Fractional coordinates of all 4 atoms:
Li  0.000  0.000  0.000
Sb  0.500  0.500  0.000
As  0.000  0.500  0.500
As  0.500  0.000  0.500